Entry 1:
Density functional theory data (PBE) for a relaxed Ti2Nb3Re2 crystal.

Structure (POSCAR):
```
Ti2Nb3Re2
1.0
2.802 0.000 0.000
-1.053 6.839 0.000
-1.080 -3.151 6.224
Ti Nb Re
2 3 2
Direct
0.067 0.255 0.067
0.933 0.745 0.933
0.000 0.500 0.500
0.409 0.932 0.661
0.591 0.068 0.339
0.354 0.341 0.766
0.646 0.659 0.234
```

Computed properties:
- ΔE_f: -0.001 eV per atom
- Total magnetization: 0.0 μB/f.u.


Entry 2:
Density functional theory data (PBE) for a relaxed TiNbRe crystal.

Structure (POSCAR):
```
TiNbRe
1.0
-2.176 2.176 3.069
2.176 -2.176 3.069
2.176 2.176 -3.069
Ti Nb Re
1 1 1
Direct
0.000 0.000 0.000
0.500 0.500 0.000
0.250 0.750 0.500
```

Computed properties:
- ΔE_f: 0.250 eV per atom
- Energy above the lowest structure with this stoichiometry: 0.530 eV per atom
- Total magnetization: 0.0 μB/f.u.


Entry 3:
Density functional theory data (PBE) for a relaxed TiNb4Re crystal.

Structure (POSCAR):
```
TiNb4Re
1.0
2.210 1.276 7.127
-2.210 1.276 7.127
0.000 -2.552 7.127
Ti Nb Re
1 4 1
Direct
0.000 0.000 0.000
0.125 0.125 0.125
0.374 0.374 0.374
0.626 0.626 0.626
0.875 0.875 0.875
0.500 0.500 0.500
```

Computed properties:
- ΔE_f: 0.612 eV per atom
- Energy above the lowest structure with this stoichiometry: 0.702 eV per atom
- Total magnetization: 0.0 μB/f.u.


| no. | Fermi-level density of states (states/eV per cell) |
| --- | --- |
| 1 | 7.400 |
| 2 | 4.451 |
| 3 | 6.429 |